(1)
DFT (PBE) results for Tb2Pm4YEr2 after structural relaxation.

As for the size of the total moment: 0.00 μB/f.u. Its total energy is -4.8530 eV/atom.

a b c (Å): 15.256 5.076 8.024
angles (deg): 90.00 108.48 90.00
Space group C2/m (No. 12)
Inequivalent atoms, fractional coordinates:
Tb: 0.112 0.000 0.169 [4 per cell]
Pm: 0.055 0.500 0.832 [4 per cell]
Pm: 0.223 0.000 0.832 [4 per cell]
Y: 0.000 0.000 0.500 [2 per cell]
Er: 0.168 0.500 0.500 [4 per cell]

***

(2)
DFT (PBE) results for TbPmY5Er2 after structural relaxation.

As for the size of the total moment: 0.00 μB/f.u. Its total energy is -5.4902 eV/atom.

a b c (Å): 5.627 20.131 10.492
angles (deg): 90.00 90.00 90.00
Space group Cmc2_1 (No. 36)
Inequivalent atoms, fractional coordinates:
Tb: 0.000 0.087 0.000 [4 per cell]
Pm: 0.000 0.303 0.566 [4 per cell]
Y: 0.000 0.022 0.288 [4 per cell]
Y: 0.000 0.111 0.576 [4 per cell]
Y: 0.000 0.199 0.257 [4 per cell]
Y: 0.000 0.222 0.867 [4 per cell]
Y: 0.000 0.484 0.574 [4 per cell]
Er: 0.000 0.387 0.871 [4 per cell]
Er: 0.000 0.389 0.287 [4 per cell]

***

(3)
DFT (PBE) results for TbPm2Y2Er2 after structural relaxation.

As for the size of the total moment: 0.00 μB/f.u. Its total energy is -5.0226 eV/atom.

a b c (Å): 17.677 3.499 8.461
angles (deg): 90.00 117.01 90.00
Space group C2/m (No. 12)
Inequivalent atoms, fractional coordinates:
Tb: 0.000 0.000 0.000 [2 per cell]
Pm: 0.149 0.500 0.889 [4 per cell]
Y: 0.070 0.500 0.406 [4 per cell]
Er: 0.211 0.000 0.299 [4 per cell]

***

(4)
DFT (PBE) results for Tb2PmYEr after structural relaxation.

As for the size of the total moment: 0.01 μB/f.u. Its total energy is -4.6274 eV/atom.

a b c (Å): 8.379 11.521 7.193
angles (deg): 90.00 90.00 90.00
Space group Cmcm (No. 63)
Inequivalent atoms, fractional coordinates:
Tb: 0.192 0.000 0.000 [8 per cell]
Pm: 0.000 0.220 0.250 [4 per cell]
Y: 0.000 0.234 0.750 [4 per cell]
Er: 0.000 0.487 0.250 [4 per cell]

***

(5)
DFT (PBE) results for Tb6Pm2YEr after structural relaxation.

As for the size of the total moment: 0.00 μB/f.u. Its total energy is -4.7177 eV/atom.

a b c (Å): 9.038 15.161 9.664
angles (deg): 90.00 98.33 90.00
Space group C2/c (No. 15)
Inequivalent atoms, fractional coordinates:
Tb: 0.062 0.189 0.444 [8 per cell]
Tb: 0.105 0.395 0.620 [8 per cell]
Tb: 0.203 0.223 0.812 [8 per cell]
Pm: 0.249 0.053 0.042 [8 per cell]
Y: 0.000 0.019 0.750 [4 per cell]
Er: 0.000 0.408 0.250 [4 per cell]

***

(6)
DFT (PBE) results for TbPm6YEr2 after structural relaxation.

As for the size of the total moment: 0.00 μB/f.u. Its total energy is -4.7574 eV/atom.

a b c (Å): 9.199 15.287 9.637
angles (deg): 90.00 97.41 90.00
Space group C2/c (No. 15)
Inequivalent atoms, fractional coordinates:
Tb: 0.000 0.090 0.250 [4 per cell]
Pm: 0.061 0.321 0.446 [8 per cell]
Pm: 0.101 0.108 0.619 [8 per cell]
Pm: 0.211 0.275 0.814 [8 per cell]
Y: 0.000 0.473 0.750 [4 per cell]
Er: 0.250 0.051 0.955 [8 per cell]

***

(7)
DFT (PBE) results for Tb4Pm2YEr2 after structural relaxation.

As for the size of the total moment: 0.00 μB/f.u. Its total energy is -4.8282 eV/atom.

a b c (Å): 18.558 3.567 8.759
angles (deg): 90.00 90.04 90.00
Space group C2/m (No. 12)
Inequivalent atoms, fractional coordinates:
Tb: 0.056 0.000 0.168 [4 per cell]
Tb: 0.222 0.500 0.169 [4 per cell]
Pm: 0.111 0.500 0.831 [4 per cell]
Y: 0.000 0.500 0.500 [2 per cell]
Er: 0.167 0.000 0.499 [4 per cell]

***

(8)
DFT (PBE) results for Tb6PmY3Er2 after structural relaxation.

As for the size of the total moment: 0.00 μB/f.u. Its total energy is -5.0703 eV/atom.

a b c (Å): 6.171 10.678 11.806
angles (deg): 90.00 99.97 90.00
Space group C2/m (No. 12)
Inequivalent atoms, fractional coordinates:
Tb: 0.249 0.167 0.251 [8 per cell]
Tb: 0.250 0.000 0.749 [4 per cell]
Pm: 0.000 0.500 0.500 [2 per cell]
Y: 0.000 0.000 0.000 [2 per cell]
Y: 0.000 0.333 0.000 [4 per cell]
Er: 0.000 0.167 0.500 [4 per cell]

***

(9)
DFT (PBE) results for Tb2PmY6Er after structural relaxation.

As for the size of the total moment: 0.00 μB/f.u. Its total energy is -5.6195 eV/atom.

a b c (Å): 9.114 15.039 9.631
angles (deg): 90.00 98.11 90.00
Space group C2/c (No. 15)
Inequivalent atoms, fractional coordinates:
Tb: 0.249 0.051 0.047 [8 per cell]
Pm: 0.000 0.023 0.750 [4 per cell]
Y: 0.064 0.186 0.443 [8 per cell]
Y: 0.100 0.393 0.617 [8 per cell]
Y: 0.208 0.224 0.816 [8 per cell]
Er: 0.000 0.409 0.250 [4 per cell]

***

(10)
DFT (PBE) results for Tb3Pm6Y2Er after structural relaxation.

As for the size of the total moment: 0.00 μB/f.u. Its total energy is -4.9788 eV/atom.

a b c (Å): 6.255 10.831 11.870
angles (deg): 90.00 100.08 90.00
Space group C2/m (No. 12)
Inequivalent atoms, fractional coordinates:
Tb: 0.000 0.000 0.000 [2 per cell]
Tb: 0.000 0.333 0.000 [4 per cell]
Pm: 0.249 0.500 0.250 [4 per cell]
Pm: 0.250 0.166 0.250 [8 per cell]
Y: 0.000 0.167 0.500 [4 per cell]
Er: 0.000 0.500 0.500 [2 per cell]

***

(11)
DFT (PBE) results for TbPm2Y3Er6 after structural relaxation.

As for the size of the total moment: 0.00 μB/f.u. Its total energy is -5.0536 eV/atom.

a b c (Å): 6.157 10.653 11.751
angles (deg): 90.00 100.02 90.00
Space group C2/m (No. 12)
Inequivalent atoms, fractional coordinates:
Tb: 0.000 0.000 0.000 [2 per cell]
Pm: 0.000 0.333 0.000 [4 per cell]
Y: 0.000 0.167 0.500 [4 per cell]
Y: 0.000 0.500 0.500 [2 per cell]
Er: 0.249 0.000 0.749 [4 per cell]
Er: 0.249 0.333 0.749 [8 per cell]

***

(12)
DFT (PBE) results for TbPm6Y3Er2 after structural relaxation.

As for the size of the total moment: 0.00 μB/f.u. Its total energy is -5.1258 eV/atom.

a b c (Å): 6.249 10.821 11.840
angles (deg): 90.00 100.10 90.00
Space group C2/m (No. 12)
Inequivalent atoms, fractional coordinates:
Tb: 0.000 0.000 0.000 [2 per cell]
Pm: 0.250 0.000 0.752 [4 per cell]
Pm: 0.250 0.167 0.248 [8 per cell]
Y: 0.000 0.167 0.500 [4 per cell]
Y: 0.000 0.500 0.500 [2 per cell]
Er: 0.000 0.333 0.000 [4 per cell]

***

(13)
DFT (PBE) results for TbPm2Y2Er after structural relaxation.

As for the size of the total moment: 0.00 μB/f.u. Its total energy is -4.9919 eV/atom.

a b c (Å): 6.631 17.929 3.383
angles (deg): 90.00 90.00 90.00
Space group Pnnm (No. 58)
Inequivalent atoms, fractional coordinates:
Tb: 0.000 0.000 0.000 [2 per cell]
Pm: 0.234 0.318 0.000 [4 per cell]
Y: 0.230 0.147 0.500 [4 per cell]
Er: 0.000 0.500 0.000 [2 per cell]

***

(14)
DFT (PBE) results for Tb4Pm2Y2Er after structural relaxation.

As for the size of the total moment: 0.00 μB/f.u. Its total energy is -5.0582 eV/atom.

a b c (Å): 18.728 3.610 9.590
angles (deg): 90.00 115.71 90.00
Space group C2/m (No. 12)
Inequivalent atoms, fractional coordinates:
Tb: 0.019 0.000 0.333 [4 per cell]
Tb: 0.185 0.500 0.335 [4 per cell]
Pm: 0.166 0.000 0.000 [4 per cell]
Y: 0.147 0.500 0.664 [4 per cell]
Er: 0.000 0.500 0.000 [2 per cell]

***

(15)
DFT (PBE) results for Tb4PmY2Er2 after structural relaxation.

As for the size of the total moment: 0.00 μB/f.u. Its total energy is -5.0343 eV/atom.

a b c (Å): 18.658 3.593 9.551
angles (deg): 90.00 115.71 90.00
Space group C2/m (No. 12)
Inequivalent atoms, fractional coordinates:
Tb: 0.018 0.000 0.334 [4 per cell]
Tb: 0.185 0.500 0.334 [4 per cell]
Pm: 0.000 0.500 0.000 [2 per cell]
Y: 0.148 0.500 0.668 [4 per cell]
Er: 0.168 0.000 0.002 [4 per cell]

***

(16)
DFT (PBE) results for TbPm2YEr2 after structural relaxation.

As for the size of the total moment: 0.00 μB/f.u. Its total energy is -4.8897 eV/atom.

a b c (Å): 7.016 5.646 9.768
angles (deg): 90.00 90.00 90.00
Space group Pmma (No. 51)
Inequivalent atoms, fractional coordinates:
Tb: 0.250 0.000 0.161 [2 per cell]
Pm: 0.000 0.000 0.500 [2 per cell]
Pm: 0.250 0.500 0.675 [2 per cell]
Y: 0.000 0.500 0.000 [2 per cell]
Er: 0.250 0.000 0.831 [2 per cell]
Er: 0.250 0.500 0.337 [2 per cell]

***

(17)
DFT (PBE) results for TbPm2Y6Er after structural relaxation.

As for the size of the total moment: 0.00 μB/f.u. Its total energy is -5.6355 eV/atom.

a b c (Å): 9.082 15.046 9.749
angles (deg): 90.00 99.47 90.00
Space group C2/c (No. 15)
Inequivalent atoms, fractional coordinates:
Tb: 0.000 0.019 0.250 [4 per cell]
Pm: 0.245 0.050 0.544 [8 per cell]
Y: 0.065 0.188 0.943 [8 per cell]
Y: 0.101 0.395 0.118 [8 per cell]
Y: 0.204 0.222 0.314 [8 per cell]
Er: 0.000 0.407 0.750 [4 per cell]

***

(18)
DFT (PBE) results for Tb2Pm4Y2Er after structural relaxation.

As for the size of the total moment: 0.00 μB/f.u. Its total energy is -5.0651 eV/atom.

a b c (Å): 15.284 5.087 8.037
angles (deg): 90.00 108.49 90.00
Space group C2/m (No. 12)
Inequivalent atoms, fractional coordinates:
Tb: 0.111 0.000 0.168 [4 per cell]
Pm: 0.055 0.500 0.832 [4 per cell]
Pm: 0.222 0.000 0.834 [4 per cell]
Y: 0.166 0.500 0.500 [4 per cell]
Er: 0.000 0.000 0.500 [2 per cell]

***

(19)
DFT (PBE) results for TbPm2Y6Er3 after structural relaxation.

As for the size of the total moment: 0.00 μB/f.u. Its total energy is -5.5294 eV/atom.

a b c (Å): 6.185 10.701 11.811
angles (deg): 90.00 100.01 90.00
Space group C2/m (No. 12)
Inequivalent atoms, fractional coordinates:
Tb: 0.000 0.000 0.000 [2 per cell]
Pm: 0.000 0.333 0.000 [4 per cell]
Y: 0.248 0.000 0.747 [4 per cell]
Y: 0.249 0.334 0.747 [8 per cell]
Er: 0.000 0.167 0.500 [4 per cell]
Er: 0.000 0.500 0.500 [2 per cell]

***

(20)
DFT (PBE) results for Tb2PmY2Er after structural relaxation.

As for the size of the total moment: 0.00 μB/f.u. Its total energy is -4.9638 eV/atom.

a b c (Å): 6.631 17.673 3.388
angles (deg): 90.00 90.00 90.00
Space group Pnnm (No. 58)
Inequivalent atoms, fractional coordinates:
Tb: 0.236 0.178 0.000 [4 per cell]
Pm: 0.000 0.000 0.000 [2 per cell]
Y: 0.231 0.349 0.500 [4 per cell]
Er: 0.000 0.500 0.000 [2 per cell]